# MgAgAu | Alexandria via LeMat-Bulk | meta-GGA SCAN | PBEsol geometry
data_MgAgAu
_cell_length_a 3.0516
_cell_length_b 3.8409
_cell_length_c 8.7643
_cell_angle_alpha 90.00
_cell_angle_beta 90.00
_cell_angle_gamma 90.00
_symmetry_space_group_name_H-M 'I m m 2'
_symmetry_Int_Tables_number 44
loop_
_symmetry_equiv_pos_as_xyz
'x,y,z'
'-x,-y,z'
'-x,y,z'
'x,-y,z'
'x+1/2,y+1/2,z+1/2'
'-x+1/2,-y+1/2,z+1/2'
'-x+1/2,y+1/2,z+1/2'
'x+1/2,-y+1/2,z+1/2'
loop_
_atom_site_label
_atom_site_fract_x
_atom_site_fract_y
_atom_site_fract_z
_atom_site_occupancy
Mg1 0.0000 0.0000 0.0000 1
Ag1 0.0000 0.0000 0.3311 1
Au1 0.0000 0.0000 0.6598 1
# ρ	10.64	g/cm³
# final energy	-35.58	eV per atom
# ΔE_f	-0.415	eV per atom
# total magnetic moment	0.00	μB per formula unit
# crystal system	orthorhombic

# MgTi2AgAu | Alexandria via LeMat-Bulk | meta-GGA SCAN | PBEsol geometry
data_MgTi2AgAu
_cell_length_a 4.7409
_cell_length_b 4.7409
_cell_length_c 4.5731
_cell_angle_alpha 90.00
_cell_angle_beta 90.00
_cell_angle_gamma 90.00
_symmetry_space_group_name_H-M 'P 4/m m m'
_symmetry_Int_Tables_number 123
_symmetry_space_group_name_Hall '-P 4 2'
loop_
_atom_site_label
_atom_site_fract_x
_atom_site_fract_y
_atom_site_fract_z
_atom_site_occupancy
Mg1 0.0000 0.0000 0.0000 1
Ti1 0.0000 0.5000 0.0000 1
Ag1 0.5000 0.5000 0.5000 1
Au1 0.0000 0.0000 0.5000 1
# ρ	6.86	g/cm³
# final energy	-26.45	eV per atom
# ΔE_f	1.062	eV per atom
# total magnetic moment	0.01	μB per formula unit
# crystal system	tetragonal